1.
## Tb3Pr4PuTe8 (PBE-GGA)

Data for crystalline Tb3Pr4PuTe8 at its relaxed geometry.

Cell and atoms, written as POSCAR:
```
Tb3Pr4PuTe8
1.0
4.4356 2.5609 7.3622
-4.4356 2.5609 7.3622
0.0000 -5.1218 7.3622
Tb Pr Pu Te
3 4 1 8
Cartesian
-2.2178 -1.2804 7.3622 Tb
-2.2178 1.2804 14.7244 Tb
0.0000 2.5609 7.3622 Tb
-4.4356 0.0000 11.0433 Pr
-2.2178 1.2804 3.6811 Pr
2.2178 1.2804 3.6811 Pr
0.0000 0.0000 11.0433 Pr
0.0000 0.0000 0.0000 Pu
0.0000 -2.5492 9.1173 Te
-2.2077 1.2746 9.1173 Te
0.0000 0.0000 5.6177 Te
-2.2077 -1.2746 12.9694 Te
2.2077 1.2746 9.1173 Te
0.0000 0.0000 16.4690 Te
2.2077 -1.2746 12.9694 Te
0.0000 2.5492 12.9694 Te
```

Total magnetization = 5.96 μB per formula unit
Symmetry = No. 166
E_form (uncorrected) = -131.0 kJ per mole of atoms
Total DFT energy (no corrections) = -5.8876 eV/atom

2.
## Tb6Pr2Tm3Pu (PBE-GGA)

Data for crystalline Tb6Pr2Tm3Pu at its relaxed geometry.

Cell and atoms, written as POSCAR:
```
Tb6Pr2Tm3Pu
1.0
3.0806 -5.3417 0.0000
3.0806 5.3417 0.0000
-2.0662 0.0000 11.5728
Tb Pr Tm Pu
6 2 3 1
Cartesian
-0.0226 1.7583 8.7166 Tb
0.9990 0.0000 2.8547 Tb
-0.0226 -1.7583 8.7166 Tb
4.1176 1.7583 2.8562 Tb
3.0960 0.0000 8.7182 Tb
4.1176 -1.7583 2.8562 Tb
2.0475 1.7790 5.7864 Pr
2.0475 -1.7790 5.7864 Pr
3.0806 3.5621 0.0000 Tm
3.0806 0.0000 0.0000 Tm
3.0806 -3.5621 0.0000 Tm
-1.0331 0.0000 5.7864 Pu
```

Total magnetization = 6.28 μB per formula unit
Symmetry = No. 12
ΔH_f (0 K) = 0.054 eV per atom
Total DFT energy (no corrections) = -5.3699 eV/atom

3.
## Tb2Pr3Tm6Pu (PBE-GGA)

Data for crystalline Tb2Pr3Tm6Pu at its relaxed geometry.

Cell and atoms, written as POSCAR:
```
Tb2Pr3Tm6Pu
1.0
3.0793 -5.3334 0.0000
3.0793 5.3334 0.0000
-2.0538 0.0000 11.4587
Tb Pr Tm Pu
2 3 6 1
Cartesian
3.0793 3.5563 0.0000 Tb
3.0793 -3.5563 0.0000 Tb
-1.0269 0.0000 5.7294 Pr
2.0524 1.7846 5.7294 Pr
2.0524 -1.7846 5.7294 Pr
0.0131 1.7528 8.6606 Tm
1.0542 0.0000 2.7999 Tm
0.0131 -1.7528 8.6606 Tm
4.0917 1.7528 2.7982 Tm
3.0505 0.0000 8.6588 Tm
4.0917 -1.7528 2.7982 Tm
3.0793 0.0000 0.0000 Pu
```

Total magnetization = 6.49 μB per formula unit
Symmetry = No. 12
ΔH_f (0 K) = 0.044 eV per atom
Total DFT energy (no corrections) = -5.3527 eV/atom

4.
## Tb3Pr2Y6Pu (PBE-GGA)

Data for crystalline Tb3Pr2Y6Pu at its relaxed geometry.

Cell and atoms, written as POSCAR:
```
Tb3Pr2Y6Pu
1.0
3.1033 -5.3795 0.0000
3.1033 5.3795 0.0000
-2.0774 0.0000 11.6257
Tb Pr Y Pu
3 2 6 1
Cartesian
0.0000 0.0000 0.0000 Tb
3.1033 1.7948 0.0000 Tb
3.1033 -1.7948 0.0000 Tb
2.0647 3.5879 5.8129 Pr
2.0647 -3.5879 5.8129 Pr
1.0478 1.7704 2.8969 Y
0.0174 0.0000 8.7312 Y
1.0478 -1.7704 2.8969 Y
3.0816 1.7704 8.7288 Y
4.1120 0.0000 2.8946 Y
3.0816 -1.7704 8.7288 Y
2.0647 0.0000 5.8129 Pu
```

Total magnetization = 6.31 μB per formula unit
Symmetry = No. 12
ΔH_f (0 K) = 0.051 eV per atom
Total DFT energy (no corrections) = -6.3298 eV/atom

5.
## Tb2Pr3Y6Pu (PBE-GGA)

Data for crystalline Tb2Pr3Y6Pu at its relaxed geometry.

Cell and atoms, written as POSCAR:
```
Tb2Pr3Y6Pu
1.0
3.1152 -5.3979 0.0000
3.1152 5.3979 0.0000
-2.0789 0.0000 11.6356
Tb Pr Y Pu
2 3 6 1
Cartesian
3.1152 3.5997 0.0000 Tb
3.1152 -3.5997 0.0000 Tb
-1.0395 0.0000 5.8178 Pr
2.0758 1.8039 5.8178 Pr
2.0758 -1.8039 5.8178 Pr
0.0127 1.7760 8.7928 Y
1.0628 0.0000 2.8443 Y
0.0127 -1.7760 8.7928 Y
4.1389 1.7760 2.8428 Y
3.0887 0.0000 8.7913 Y
4.1389 -1.7760 2.8428 Y
3.1152 0.0000 0.0000 Pu
```

Total magnetization = 6.58 μB per formula unit
Symmetry = No. 12
ΔH_f (0 K) = 0.045 eV per atom
Total DFT energy (no corrections) = -6.3483 eV/atom

6.
## Pr2PuTc2 (PBE-GGA)

Data for crystalline Pr2PuTc2 at its relaxed geometry.

Cell and atoms, written as POSCAR:
```
Pr2PuTc2
1.0
5.0125 -3.0586 0.0000
5.0125 3.0586 0.0000
-1.2374 0.0000 7.9476
Pr Pu Tc
4 2 4
Cartesian
1.3306 0.7597 1.2196 Pr
0.7119 -0.7597 5.1934 Pr
8.0756 0.7597 2.7542 Pr
7.4569 -0.7597 6.7280 Pr
4.7031 0.7831 1.9869 Pu
4.0844 -0.7831 5.9607 Pu
3.1797 0.7666 3.8650 Tc
6.2266 0.7666 0.1088 Tc
2.5609 -0.7666 7.8388 Tc
5.6079 -0.7666 4.0826 Tc
```

Total magnetization = 3.40 μB per formula unit
Symmetry = No. 15
ΔH_f (0 K) = -0.007 eV per atom
Total DFT energy (no corrections) = -8.9320 eV/atom

7.
## PrPu2Tc9 (PBE-GGA)

Data for crystalline PrPu2Tc9 at its relaxed geometry.

Cell and atoms, written as POSCAR:
```
PrPu2Tc9
1.0
2.6437 1.5263 8.9739
-2.6437 1.5263 8.9739
0.0000 -3.0527 8.9739
Pr Pu Tc
1 2 9
Cartesian
0.0000 0.0000 0.0000 Pr
0.0000 0.0000 3.9072 Pu
0.0000 0.0000 23.0145 Pu
-1.3436 -0.7757 11.2093 Tc
0.0000 0.0000 9.0516 Tc
0.0000 -1.5515 15.7124 Tc
-1.3436 0.7757 15.7124 Tc
0.0000 0.0000 13.4608 Tc
1.3436 -0.7757 11.2093 Tc
0.0000 1.5515 11.2093 Tc
0.0000 0.0000 17.8701 Tc
1.3436 0.7757 15.7123 Tc
```

Total magnetization = 9.67 μB per formula unit
Symmetry = No. 166
ΔH_f (0 K) = 0.110 eV per atom
Total DFT energy (no corrections) = -10.4517 eV/atom

8.
## PrPuTe2 (PBE-GGA)

Data for crystalline PrPuTe2 at its relaxed geometry.

Cell and atoms, written as POSCAR:
```
PrPuTe2
1.0
2.1658 1.2504 7.8821
-2.1658 1.2504 7.8821
0.0000 -2.5008 7.8821
Pr Pu Te
1 1 2
Cartesian
0.0000 0.0000 0.0000 Pr
0.0000 0.0000 4.0781 Pu
0.0000 0.0000 13.7764 Te
0.0000 0.0000 17.8728 Te
```

Total magnetization = 5.41 μB per formula unit
Symmetry = No. 160
E_form (uncorrected) = -118.8 kJ per mole of atoms
Total DFT energy (no corrections) = -7.5796 eV/atom
Offset from the most stable computed form = 51.7 meV per atom

Copy entry 4 word for word.
## Tb3Pr2Y6Pu (PBE-GGA)

Data for crystalline Tb3Pr2Y6Pu at its relaxed geometry.

Cell and atoms, written as POSCAR:
```
Tb3Pr2Y6Pu
1.0
3.1033 -5.3795 0.0000
3.1033 5.3795 0.0000
-2.0774 0.0000 11.6257
Tb Pr Y Pu
3 2 6 1
Cartesian
0.0000 0.0000 0.0000 Tb
3.1033 1.7948 0.0000 Tb
3.1033 -1.7948 0.0000 Tb
2.0647 3.5879 5.8129 Pr
2.0647 -3.5879 5.8129 Pr
1.0478 1.7704 2.8969 Y
0.0174 0.0000 8.7312 Y
1.0478 -1.7704 2.8969 Y
3.0816 1.7704 8.7288 Y
4.1120 0.0000 2.8946 Y
3.0816 -1.7704 8.7288 Y
2.0647 0.0000 5.8129 Pu
```

Total magnetization = 6.31 μB per formula unit
Symmetry = No. 12
ΔH_f (0 K) = 0.051 eV per atom
Total DFT energy (no corrections) = -6.3298 eV/atom

The lowest total magnetization belongs to which entry?
Pr2PuTc2